DFT (GGA+U) results for a relaxed AcCo3F12 crystal.

a = 7.5526 Å, b = 7.5526 Å, c = 32.8965 Å
α = 90.00°, β = 90.00°, γ = 120.00°
Space group R-3c (No. 167, hexagonal axes)
Symmetry-distinct sites (fractional):
Ac 0.0000 0.0000 0.2500 (multiplicity 6)
Co 0.0000 0.5000 0.0000 (multiplicity 18)
F 0.0347 0.5040 0.0546 (multiplicity 36)
F 0.0978 0.5338 0.8451 (multiplicity 36)

* E: -79.78 eV per formula unit
* magnetization: 6.0 μB/f.u.